No. 1
The following is a GGA-PBE calculation of a relaxed YTaNb2 crystal, from Alexandria.

a b c (Å): 4.8632 4.8632 4.8632
angles (deg): 60.00 60.00 60.00
Atoms (fractional coordinates):
Y1 0.0000 0.0000 0.0000
Ta1 0.5000 0.5000 0.5000
Nb1 0.2500 0.2500 0.2500
Nb2 0.7500 0.7500 0.7500

Energy above the most stable polymorph in this dataset = 0.000 eV per atom
Electronic total energy = -37.1 eV per cell
DFT formation energy = 0.33 eV/atom

No. 2
The following is a GGA-PBE calculation of a relaxed La11Y9Er4 crystal, from Alexandria.

a b c (Å): 15.6260 15.6260 3.7061
angles (deg): 90.00 90.00 113.03
Atoms (fractional coordinates):
La1 0.0000 0.0000 0.0000
La2 0.0439 0.4055 0.0000
La3 0.1596 0.8404 0.0000
La4 0.2940 0.2940 0.0000
La5 0.3689 0.6311 0.0000
La6 0.4055 0.0439 0.0000
La7 0.5945 0.9561 0.0000
La8 0.6311 0.3689 0.0000
La9 0.7060 0.7060 0.0000
La10 0.8404 0.1596 0.0000
La11 0.9561 0.5945 0.0000
Y1 0.0695 0.2143 0.5000
Y2 0.1664 0.6308 0.5000
Y3 0.2143 0.0695 0.5000
Y4 0.3692 0.8336 0.5000
Y5 0.5000 0.5000 0.5000
Y6 0.6308 0.1664 0.5000
Y7 0.7857 0.9305 0.5000
Y8 0.8336 0.3692 0.5000
Y9 0.9305 0.7857 0.5000
Er1 0.2411 0.4448 0.5000
Er2 0.4448 0.2411 0.5000
Er3 0.5552 0.7589 0.5000
Er4 0.7589 0.5552 0.5000

Electronic total energy = -129.1 eV per cell
DFT formation energy = 0.06 eV/atom

No. 3
The following is a GGA-PBE calculation of a relaxed LaHoTlAg crystal, from Alexandria.

a b c (Å): 3.7125 3.7125 7.9777
angles (deg): 90.00 90.00 90.00
Atoms (fractional coordinates):
La1 0.0000 0.0000 0.0000
Ho1 0.0000 0.0000 0.5292
Tl1 0.5000 0.5000 0.2789
Ag1 0.5000 0.5000 0.7284

Energy above the most stable polymorph in this dataset = 0.000 eV per atom
Electronic total energy = -16.1 eV per cell
DFT formation energy = -0.34 eV/atom

No. 4
The following is a GGA-PBE calculation of a relaxed LaMg2GaRh2 crystal, from Alexandria.

a b c (Å): 4.6644 4.6644 6.1111
angles (deg): 90.00 90.00 90.00
Atoms (fractional coordinates):
La1 0.0000 0.0000 0.0000
Mg1 0.5000 0.5000 0.2574
Mg2 0.5000 0.5000 0.7426
Ga1 0.0000 0.0000 0.5000
Rh1 0.0000 0.5000 0.5000
Rh2 0.5000 0.0000 0.5000

Electronic total energy = -27.9 eV per cell
DFT formation energy = -0.34 eV/atom

No. 5
The following is a GGA-PBE calculation of a relaxed HfMg2Al crystal, from Alexandria.

a b c (Å): 6.2566 6.2566 6.2566
angles (deg): 101.96 101.96 125.84
Atoms (fractional coordinates):
Hf1 0.0000 0.0000 0.0000
Hf2 0.7500 0.2500 0.5000
Mg1 0.1566 0.1250 0.5316
Mg2 0.3750 0.8434 0.9684
Mg3 0.5934 0.6250 0.4684
Mg4 0.8750 0.4066 0.0316
Al1 0.2500 0.7500 0.5000
Al2 0.5000 0.5000 0.0000

Electronic total energy = -30.7 eV per cell
DFT formation energy = 0.38 eV/atom

No. 6
The following is a GGA-PBE calculation of a relaxed Dy2Tm4ZrSc crystal, from Alexandria.

a b c (Å): 4.8527 4.8527 9.6922
angles (deg): 90.00 90.00 90.00
Atoms (fractional coordinates):
Dy1 0.0000 0.0000 0.0000
Dy2 0.5000 0.5000 0.5000
Tm1 0.0000 0.5000 0.2441
Tm2 0.0000 0.5000 0.7559
Tm3 0.5000 0.0000 0.2441
Tm4 0.5000 0.0000 0.7559
Zr1 0.5000 0.5000 0.0000
Sc1 0.0000 0.0000 0.5000

Electronic total energy = -41.5 eV per cell
DFT formation energy = 0.06 eV/atom

Question: Look up the electronic total energy of the fourth one.
Answer: -27.9 eV per cell